VASP calculation (PBE-GGA) on a relaxed Li2ZnAu crystal.

Results
- Formation enthalpy at 0 K: -1.44 eV per formula unit
- Symmetry: Cm (8)

Lattice parameters (Å, degrees): 4.821 4.821 4.820 80.46 80.46 34.23
Fractional positions:
Zn 0.503 0.503 0.498
Au 0.249 0.249 0.248
Li 0.992 0.992 0.009
Li 0.757 0.757 0.745